NiPdO2 | PBE+U | optimized geometry

Properties
- Raw total energy: -4.64 eV/atom

Cell: 4.5637 4.5637 5.9934 Å, 67.62 67.62 90.00°
Last column: magnetic moment on the atom in μB.
Sites, in units of the cell vectors:
Ni1 0.5000 0.5000 0.0000  1.74
Ni2 0.2500 0.7500 0.5000  1.74
Pd1 0.7500 0.2500 0.5000  0.77
Pd2 0.0000 0.0000 0.0000  0.77
O1 0.3750 0.4136 0.7500  0.25
O2 0.8750 0.8364 0.7500  0.25
O3 0.5864 0.1250 0.2500  0.24
O4 0.1636 0.6250 0.2500  0.24